# 1
This record from Alexandria describes a geometry-optimized CaAcGdHg structure. The functional is GGA-PBE.

Cell lengths 5.691, 5.691, 5.691 Å; angles 60.00, 60.00, 60.00 degrees
Positions (direct):
Ca 0.000 0.000 0.000
Ac 0.750 0.750 0.750
Gd 0.500 0.500 0.500
Hg 0.250 0.250 0.250

Summary:
VASP energy = -5.08 eV/atom
Density of states at the Fermi level = 2.010 states/eV per atom
E_form = 0.93 kcal/mol of atoms
M_tot = 8.42 μB per formula unit
ρ = 7960 kg/m3


# 2
This record from Alexandria describes a geometry-optimized CaAcGdIn structure. The functional is GGA-PBE.

Cell lengths 5.723, 5.723, 5.723 Å; angles 60.00, 60.00, 60.00 degrees
Positions (direct):
Ca 0.000 0.000 0.000
Ac 0.750 0.750 0.750
Gd 0.500 0.500 0.500
In 0.250 0.250 0.250

Summary:
VASP energy = -5.77 eV/atom
Density of states at the Fermi level = 2.060 states/eV per atom
E_form = -0.80 kcal/mol of atoms
M_tot = 8.70 μB per formula unit
ρ = 6753 kg/m3


# 3
This record from Alexandria describes a geometry-optimized CaAcGdMg structure. The functional is GGA-PBE.

Cell lengths 5.824, 5.824, 5.824 Å; angles 60.00, 60.00, 60.00 degrees
Positions (direct):
Ca 0.000 0.000 0.000
Ac 0.750 0.750 0.750
Gd 0.250 0.250 0.250
Mg 0.500 0.500 0.500

Summary:
VASP energy = -5.39 eV/atom
Density of states at the Fermi level = 1.388 states/eV per atom
E_form = 1.27 kcal/mol of atoms
M_tot = 7.32 μB per formula unit
ρ = 5334 kg/m3


# 4
This record from Alexandria describes a geometry-optimized CaAcGdPb structure. The functional is GGA-PBE.

Cell lengths 5.746, 5.746, 5.746 Å; angles 60.00, 60.00, 60.00 degrees
Positions (direct):
Ca 0.000 0.000 0.000
Ac 0.250 0.250 0.250
Gd 0.500 0.500 0.500
Pb 0.750 0.750 0.750

Summary:
VASP energy = -6.04 eV/atom
Density of states at the Fermi level = 1.659 states/eV per atom
E_form = -1.45 kcal/mol of atoms
M_tot = 9.27 μB per formula unit
ρ = 7819 kg/m3


Q: Which formula does entry 3 have?
A: CaAcGdMg


Q: Number 3 is which compound?
A: CaAcGdMg